Here is a relaxed structure of Cs4OsO5 from OQMD via LeMat-Bulk. Energies are from PBE.

a b c (Å): 8.818 8.818 5.909
angles (deg): 90.00 90.00 90.00
Space group I4 (No. 79)
Symmetry-distinct sites (fractional):
Cs (0.105, 0.700, 0.000) [8 per cell]
Os (0.000, 0.000, 0.547) [2 per cell]
O (0.000, 0.000, 0.855) [2 per cell]
O (0.067, 0.796, 0.481) [8 per cell]

* total energy: -0.3830 Ry/atom
* mass density: 5.796 g/cm3